YRuI3: optimized geometry, GGA-PBE.

abc: 5.3347 5.3347 5.3347
angles: 90.00 90.00 90.00
Last column: nearest neighbours and their distance in Å.
Element x y z (fractional)
Y1 0.0000 0.0000 0.0000  12 I 3.77
Ru1 0.5000 0.5000 0.5000  6 I 2.67
I1 0.0000 0.5000 0.5000  2 Ru 2.67
I2 0.5000 0.0000 0.5000  2 Ru 2.67
I3 0.5000 0.5000 0.0000  2 Ru 2.67

Values from the calculation:
- crystal system = cubic
- energy relative to the elements, uncorrected (eV/f.u.) = 0.58
- energy (eV per atom) = -3.963